Compound: Li6NbNi3P6O24
Source: Alexandria via LeMat-Bulk
Functional: PBE+U
Structure: optimized geometry

Results
E (eV/cell): -264.59
Symmetry: P1 (1)
Density of states at the Fermi level (states/eV per cell): 7.99

Cell lengths 8.4900, 8.5191, 9.0376 Å; angles 62.28, 89.69, 60.24 degrees
Sites, in units of the cell vectors:
Li 0.0000 0.0000 0.0000
Li 0.0653 0.2776 0.0665
Li 0.1711 0.2980 0.5173
Li 0.4315 0.1809 0.2581
Li 0.5454 0.6664 0.5219
Li 0.8153 0.0250 0.5240
Nb 0.6039 0.8069 0.8210
Ni 0.1220 0.7779 0.3424
Ni 0.3120 0.3974 0.9246
Ni 0.8056 0.3994 0.4202
P 0.0079 0.5919 0.1350
P 0.2128 0.8841 0.6258
P 0.4157 0.8864 0.1390
P 0.4977 0.3049 0.6226
P 0.7113 0.2983 0.1304
P 0.9236 0.5892 0.6357
O 0.0067 0.0673 0.5808
O 0.0618 0.4550 0.8192
O 0.1994 0.4658 0.1090
O 0.2600 0.8430 0.1476
O 0.2607 0.6884 0.7987
O 0.2615 0.8353 0.4804
O 0.3079 0.4462 0.4776
O 0.3403 0.1025 0.1210
O 0.3441 0.9620 0.6483
O 0.4683 0.2800 0.7957
O 0.4693 0.9041 0.9650
O 0.5737 0.2435 0.1016
O 0.5958 0.7152 0.2946
O 0.6005 0.0749 0.6454
O 0.6354 0.3766 0.5810
O 0.6444 0.5286 0.9691
O 0.7048 0.3039 0.2983
O 0.7130 0.7049 0.6518
O 0.8468 0.7032 0.9636
O 0.9153 0.1471 0.1342
O 0.9427 0.7713 0.5026
O 0.9439 0.4370 0.5792
O 0.9791 0.7683 0.1599
O 0.9939 0.4167 0.2875